The following is a DFT calculation (PBE-GGA) of LiThGePt3 after structural relaxation.

Geometry as POSCAR:
```
LiThGePt3
1.0
-1.142 4.864 -2.790
2.826 -2.419 -5.375
-6.598 -1.001 0.956
Li Th Pt Ge
2 2 6 2
direct
0.250 0.950 0.900
0.750 0.050 0.100
0.750 0.293 0.585
0.250 0.707 0.415
0.250 0.167 0.334
0.500 0.280 0.000
0.750 0.833 0.666
0.500 0.720 0.000
0.000 0.280 0.000
0.000 0.720 0.000
0.750 0.628 0.255
0.250 0.372 0.745
```

Results
**Energy relative to the elements**: -0.65 eV/atom
**Crystal system**: orthorhombic
**Size of the total moment**: 0.000 μB per formula unit